! Pr5RuPb2 (PBE-GGA, relaxed); values from VASP
&SYSTEM
  ibrav = 0, nat = 16, ntyp = 3
/
ATOMIC_SPECIES
Pr 140.91 Pr.upf
Ru 101.07 Ru.upf
Pb 207.20 Pb.upf
ATOMIC_POSITIONS crystal
Pr 0.000 0.000 0.000
Pr 0.130 0.300 0.000
Pr 0.187 0.566 0.500
Pr 0.313 0.066 0.500
Pr 0.370 0.800 0.000
Pr 0.500 0.500 0.000
Pr 0.630 0.200 0.000
Pr 0.687 0.934 0.500
Pr 0.813 0.434 0.500
Pr 0.870 0.700 0.000
Ru 0.000 0.500 0.000
Ru 0.500 0.000 0.000
Pb 0.081 0.828 0.500
Pb 0.419 0.328 0.500
Pb 0.581 0.672 0.500
Pb 0.919 0.172 0.500
CELL_PARAMETERS angstrom
8.345 0.000 0.000
0.000 12.669 0.000
0.000 0.000 4.756
! - N(E_F) (states/eV per cell) = 15.3
! - E_form (eV/atom) = -0.445